The following is a DFT calculation (PBE) of an optimized crystal structure of SrLiPmTl.

Output
The calculation puts the formation energy at -0.18 eV/atom. The value obtained for the volume is 30.8 Å³/atom. As for the spin magnetization: 0.000 Bohr magnetons per cell.

Cell lengths 5.5859, 5.5859, 5.5859 Å; angles 60.00, 60.00, 60.00 degrees
Sites, in units of the cell vectors:
Sr 0.0000 0.0000 0.0000
Li 0.7500 0.7500 0.7500
Pm 0.5000 0.5000 0.5000
Tl 0.2500 0.2500 0.2500